1.
AlPPdO2, PBEsol geometry, DFT SCAN; V = 74 Å³/f.u.; space group = P4/mmm, No. 123; raw formation energy = -971 meV per atom; magnetization = 1.77 μB per formula unit
1.0
3.4442 0.0000 0.0000
0.0000 3.4442 0.0000
0.0000 0.0000 6.2753
Al P Pd O
1 1 1 2
Direct
0.0000 0.0000 0.0000
0.0000 0.0000 0.5000
0.5000 0.5000 0.5000
0.0000 0.5000 0.0000
0.5000 0.0000 0.0000

***

2.
Rb3Al2P3O12, PBEsol geometry, DFT SCAN; V = 329 Å³/f.u.; space group = Cmc2_1, No. 36; raw formation energy = -2779 meV per atom; magnetization = 0.08 μB per formula unit
1.0
8.5743 -4.2924 0.0000
8.5743 4.2924 0.0000
0.0000 0.0000 8.9305
Rb Al P O
6 4 6 24
Direct
0.1403 0.8597 0.5000
0.3333 0.4391 0.1844
0.4391 0.3333 0.6844
0.5609 0.6667 0.1844
0.6667 0.5609 0.6844
0.8597 0.1403 0.0000
0.0114 0.3238 0.3379
0.3238 0.0114 0.8379
0.6762 0.9886 0.3379
0.9886 0.6762 0.8379
0.0355 0.3737 0.0010
0.2726 0.7274 0.8990
0.3737 0.0355 0.5010
0.6263 0.9645 0.0010
0.7274 0.2726 0.3990
0.9645 0.6263 0.5010
0.0865 0.3505 0.1698
0.0996 0.4776 0.9357
0.1397 0.7175 0.8009
0.1478 0.1880 0.9326
0.1546 0.5399 0.4748
0.1880 0.1478 0.4326
0.1977 0.8023 0.0529
0.2825 0.8603 0.8009
0.3505 0.0865 0.6698
0.4494 0.5506 0.8989
0.4601 0.8454 0.4748
0.4776 0.0996 0.4357
0.5224 0.9004 0.9357
0.5399 0.1546 0.9748
0.5506 0.4494 0.3989
0.6495 0.9135 0.1698
0.7175 0.1397 0.3009
0.8023 0.1977 0.5529
0.8120 0.8522 0.9326
0.8454 0.4601 0.9748
0.8522 0.8120 0.4326
0.8603 0.2825 0.3009
0.9004 0.5224 0.4357
0.9135 0.6495 0.6698

***

3.
AlSbPO2, PBEsol geometry, DFT SCAN; V = 79 Å³/f.u.; space group = P4/mmm, No. 123; raw formation energy = -499 meV per atom; magnetization = 0.00 μB per formula unit
1.0
3.8963 0.0000 0.0000
0.0000 3.8963 0.0000
0.0000 0.0000 5.2081
Al Sb P O
1 1 1 2
Direct
0.0000 0.0000 0.0000
0.5000 0.5000 0.5000
0.5000 0.5000 0.0000
0.0000 0.5000 0.5000
0.5000 0.0000 0.5000

***

4.
AlP2SeO, PBEsol geometry, DFT SCAN; V = 79 Å³/f.u.; space group = P4/mmm, No. 123; raw formation energy = -166 meV per atom; magnetization = 0.00 μB per formula unit
1.0
4.8225 0.0000 0.0000
0.0000 4.8225 0.0000
0.0000 0.0000 3.4136
Al P Se O
1 2 1 1
Direct
0.0000 0.0000 0.0000
0.0000 0.5000 0.0000
0.5000 0.0000 0.0000
0.5000 0.5000 0.5000
0.0000 0.0000 0.5000

***

5.
AlSnP2O, PBEsol geometry, DFT SCAN; V = 84 Å³/f.u.; space group = P4/mmm, No. 123; raw formation energy = -341 meV per atom; E above lowest polymorph = 0 meV/atom; magnetization = 0.00 μB per formula unit
1.0
4.9819 0.0000 0.0000
0.0000 4.9819 0.0000
0.0000 0.0000 3.3998
Al Sn P O
1 1 2 1
Direct
0.0000 0.0000 0.0000
0.5000 0.5000 0.5000
0.0000 0.5000 0.0000
0.5000 0.0000 0.0000
0.0000 0.0000 0.5000

***

6.
AlSnP2O, PBEsol geometry, DFT SCAN; V = 99 Å³/f.u.; space group = P4/mmm, No. 123; raw formation energy = 460 meV per atom; E above lowest polymorph = 801 meV/atom; magnetization = 0.00 μB per formula unit
1.0
5.0566 0.0000 0.0000
0.0000 5.0566 0.0000
0.0000 0.0000 3.8566
Al Sn P O
1 1 2 1
Direct
0.0000 0.0000 0.0000
0.5000 0.5000 0.5000
0.0000 0.5000 0.5000
0.5000 0.0000 0.5000
0.5000 0.5000 0.0000

***

7.
AlTcP2O, PBEsol geometry, DFT SCAN; V = 81 Å³/f.u.; space group = P4/mmm, No. 123; raw formation energy = -93 meV per atom; magnetization = 0.00 μB per formula unit
1.0
4.7394 0.0000 0.0000
0.0000 4.7394 0.0000
0.0000 0.0000 3.6124
Al Tc P O
1 1 2 1
Direct
0.0000 0.0000 0.0000
0.5000 0.5000 0.5000
0.0000 0.5000 0.5000
0.5000 0.0000 0.5000
0.5000 0.5000 0.0000

***

8.
TiAlP2O, PBEsol geometry, DFT SCAN; V = 77 Å³/f.u.; space group = P4/mmm, No. 123; raw formation energy = -453 meV per atom; magnetization = 0.00 μB per formula unit
1.0
4.8375 0.0000 0.0000
0.0000 4.8375 0.0000
0.0000 0.0000 3.2986
Ti Al P O
1 1 2 1
Direct
0.0000 0.0000 0.0000
0.5000 0.5000 0.5000
0.0000 0.5000 0.5000
0.5000 0.0000 0.5000
0.5000 0.5000 0.0000

***

9.
Al2Tl3P3O12, PBEsol geometry, DFT SCAN; V = 284 Å³/f.u.; space group = Pnma, No. 62; raw formation energy = -2453 meV per atom; magnetization = 0.00 μB per formula unit
1.0
6.1069 0.0000 0.0000
0.0000 17.8515 0.0000
0.0000 0.0000 10.4235
Al Tl P O
8 12 12 48
Direct
0.2384 0.0825 0.0830
0.2384 0.4175 0.0830
0.2616 0.5825 0.5830
0.2616 0.9175 0.5830
0.7384 0.0825 0.4170
0.7384 0.4175 0.4170
0.7616 0.5825 0.9170
0.7616 0.9175 0.9170
0.2149 0.7500 0.8558
0.2264 0.6423 0.1548
0.2264 0.8577 0.1548
0.2736 0.1423 0.6548
0.2736 0.3577 0.6548
0.2851 0.2500 0.3558
0.7149 0.7500 0.6442
0.7264 0.6423 0.3452
0.7264 0.8577 0.3452
0.7736 0.1423 0.8452
0.7736 0.3577 0.8452
0.7851 0.2500 0.1442
0.2270 0.7500 0.4968
0.2486 0.0396 0.3730
0.2486 0.4604 0.3730
0.2514 0.5396 0.8730
0.2514 0.9604 0.8730
0.2730 0.2500 0.9968
0.7270 0.7500 0.0032
0.7486 0.0396 0.1270
0.7486 0.4604 0.1270
0.7514 0.5396 0.6270
0.7514 0.9604 0.6270
0.7730 0.2500 0.5032
0.0125 0.7500 0.4193
0.0405 0.0728 0.4320
0.0405 0.4272 0.4320
0.0656 0.2500 0.9124
0.0693 0.5972 0.9058
0.0693 0.9028 0.9058
0.1975 0.0381 0.9298
0.1975 0.4619 0.9298
0.2315 0.0277 0.2273
0.2315 0.4723 0.2273
0.2322 0.6823 0.5915
0.2322 0.8177 0.5915
0.2678 0.1823 0.0915
0.2678 0.3177 0.0915
0.2685 0.5277 0.7273
0.2685 0.9723 0.7273
0.3025 0.5381 0.4298
0.3025 0.9619 0.4298
0.4307 0.0972 0.4058
0.4307 0.4028 0.4058
0.4344 0.7500 0.4124
0.4595 0.5728 0.9320
0.4595 0.9272 0.9320
0.4875 0.2500 0.9193
0.5125 0.7500 0.0807
0.5405 0.0728 0.0680
0.5405 0.4272 0.0680
0.5656 0.2500 0.5876
0.5693 0.5972 0.5942
0.5693 0.9028 0.5942
0.6975 0.0381 0.5702
0.6975 0.4619 0.5702
0.7315 0.0277 0.2727
0.7315 0.4723 0.2727
0.7322 0.6823 0.9085
0.7322 0.8177 0.9085
0.7678 0.1823 0.4085
0.7678 0.3177 0.4085
0.7685 0.5277 0.7727
0.7685 0.9723 0.7727
0.8025 0.5381 0.0702
0.8025 0.9619 0.0702
0.9307 0.0972 0.0942
0.9307 0.4028 0.0942
0.9344 0.7500 0.0876
0.9595 0.5728 0.5680
0.9595 0.9272 0.5680
0.9875 0.2500 0.5807

***

10.
AlPb3O, PBEsol geometry, DFT SCAN; V = 120 Å³/f.u.; space group = Pm-3m, No. 221; raw formation energy = -101 meV per atom; E above lowest polymorph = 0 meV/atom; magnetization = 0.00 μB per formula unit
1.0
4.9304 0.0000 0.0000
0.0000 4.9304 0.0000
0.0000 0.0000 4.9304
Al Pb O
1 3 1
Direct
0.0000 0.0000 0.0000
0.0000 0.5000 0.5000
0.5000 0.0000 0.5000
0.5000 0.5000 0.0000
0.5000 0.5000 0.5000

***

11.
AlPb3O, PBEsol geometry, DFT SCAN; V = 146 Å³/f.u.; space group = Pm-3m, No. 221; raw formation energy = 683 meV per atom; E above lowest polymorph = 784 meV/atom; magnetization = 1.00 μB per formula unit
1.0
5.2599 0.0000 0.0000
0.0000 5.2599 0.0000
0.0000 0.0000 5.2599
Al Pb O
1 3 1
Direct
0.0000 0.0000 0.0000
0.0000 0.0000 0.5000
0.0000 0.5000 0.0000
0.5000 0.0000 0.0000
0.5000 0.5000 0.5000

***

12.
Al2Si2Pb2O9, PBEsol geometry, DFT SCAN; V = 180 Å³/f.u.; space group = Pbcn, No. 60; raw formation energy = -2696 meV per atom; magnetization = 0.00 μB per formula unit
1.0
6.8940 0.0000 0.0000
0.0000 10.7105 0.0000
0.0000 0.0000 9.7646
Al Si Pb O
8 8 8 36
Direct
0.0000 0.0000 0.0000
0.0000 0.0000 0.5000
0.0000 0.1465 0.2500
0.0000 0.8535 0.7500
0.5000 0.3535 0.7500
0.5000 0.5000 0.0000
0.5000 0.5000 0.5000
0.5000 0.6465 0.2500
0.2174 0.4118 0.2483
0.2174 0.5882 0.7483
0.2826 0.0882 0.7483
0.2826 0.9118 0.2483
0.7174 0.0882 0.7517
0.7174 0.9118 0.2517
0.7826 0.4118 0.2517
0.7826 0.5882 0.7517
0.0473 0.3046 0.5488
0.0473 0.6954 0.0488
0.4527 0.1954 0.0488
0.4527 0.8046 0.5488
0.5473 0.1954 0.4512
0.5473 0.8046 0.9512
0.9527 0.3046 0.9512
0.9527 0.6954 0.4512
0.0000 0.4790 0.2500
0.0000 0.5210 0.7500
0.1122 0.1415 0.0772
0.1122 0.8585 0.5772
0.1511 0.0082 0.3367
0.1511 0.9918 0.8367
0.1843 0.2734 0.3172
0.1843 0.7266 0.8172
0.1917 0.1067 0.5949
0.1917 0.8933 0.0949
0.3083 0.3933 0.0949
0.3083 0.6067 0.5949
0.3157 0.2266 0.8172
0.3157 0.7734 0.3172
0.3489 0.4918 0.8367
0.3489 0.5082 0.3367
0.3878 0.3585 0.5772
0.3878 0.6415 0.0772
0.5000 0.0210 0.7500
0.5000 0.9790 0.2500
0.6122 0.3585 0.9228
0.6122 0.6415 0.4228
0.6511 0.4918 0.6633
0.6511 0.5082 0.1633
0.6843 0.2266 0.6828
0.6843 0.7734 0.1828
0.6917 0.3933 0.4051
0.6917 0.6067 0.9051
0.8083 0.1067 0.9051
0.8083 0.8933 0.4051
0.8157 0.2734 0.1828
0.8157 0.7266 0.6828
0.8489 0.0082 0.1633
0.8489 0.9918 0.6633
0.8878 0.1415 0.4228
0.8878 0.8585 0.9228